# TaCrAs2 (GGA-PBE, relaxed)
data_TaCrAs2
_chemical_formula_sum 'Ta1 Cr1 As2'
_cell_length_a 5.0373
_cell_length_b 3.5876
_cell_length_c 3.8719
_cell_angle_alpha 90.01
_cell_angle_beta 90.00
_cell_angle_gamma 90.00
_space_group_name_H-M_alt 'P 1'
_space_group_IT_number 1
loop_
_space_group_symop_operation_xyz
'x,y,z'
loop_
_atom_site_label
_atom_site_type_symbol
_atom_site_fract_x
_atom_site_fract_y
_atom_site_fract_z
As1 As 0.0000 0.8752 0.9566
As2 As 0.5000 0.3747 0.2909
Cr1 Cr 0.0000 0.3753 0.4827
Ta1 Ta 0.5000 0.8748 0.7699
# ΔE to the lowest computed polymorph (meV/atom): 63
# Energy of formation (kcal/mol of atoms): -1.538
# Magnetization (μB per atom): 0.76

# Tm5Bi2Sb2 (GGA-PBE, relaxed)
data_Tm5Bi2Sb2
_chemical_formula_sum 'Tm10 Bi4 Sb4'
_cell_length_a 7.5707
_cell_length_b 8.1515
_cell_length_c 10.4815
_cell_angle_alpha 112.88
_cell_angle_beta 111.17
_cell_angle_gamma 90.00
_space_group_name_H-M_alt 'P 1'
_space_group_IT_number 1
loop_
_space_group_symop_operation_xyz
'x,y,z'
loop_
_atom_site_label
_atom_site_type_symbol
_atom_site_fract_x
_atom_site_fract_y
_atom_site_fract_z
Tm1 Tm 0.2196 0.6687 0.8710
Tm2 Tm 0.7804 0.7977 0.1290
Tm3 Tm 0.1514 0.1687 0.8710
Tm4 Tm 0.8486 0.2977 0.1290
Tm5 Tm 0.2861 0.0123 0.3094
Tm6 Tm 0.7139 0.7028 0.6906
Tm7 Tm 0.5233 0.5123 0.3094
Tm8 Tm 0.4767 0.2028 0.6906
Tm9 Tm 0.0550 0.7391 0.5000
Tm10 Tm 0.9450 0.2391 0.5000
Bi1 Bi 0.1342 0.6141 0.1946
Bi2 Bi 0.8658 0.4196 0.8054
Bi3 Bi 0.5604 0.1141 0.1946
Bi4 Bi 0.4396 0.9196 0.8054
Sb1 Sb 0.0000 0.9608 0.0000
Sb2 Sb 0.5000 0.4608 0.0000
Sb3 Sb 0.2980 0.4210 0.5000
Sb4 Sb 0.7020 0.9210 0.5000
# Formation energy without anion corrections (eV/atom): -0.588
# ΔE to the lowest computed polymorph (meV/atom): 224
# Magnetization (μB per atom): 0.00

# PmNi4SbP2 (GGA-PBE, relaxed)
data_PmNi4SbP2
_chemical_formula_sum 'Pm1 Ni4 Sb1 P2'
_cell_length_a 3.9843
_cell_length_b 3.9843
_cell_length_c 7.7661
_cell_angle_alpha 90.00
_cell_angle_beta 90.00
_cell_angle_gamma 90.00
_space_group_name_H-M_alt 'P 1'
_space_group_IT_number 1
loop_
_space_group_symop_operation_xyz
'x,y,z'
loop_
_atom_site_label
_atom_site_type_symbol
_atom_site_fract_x
_atom_site_fract_y
_atom_site_fract_z
Pm1 Pm 0.0000 0.0000 0.5000
Ni1 Ni 0.0000 0.5000 0.2083
Ni2 Ni 0.5000 0.0000 0.7917
Ni3 Ni 0.5000 0.0000 0.2083
Ni4 Ni 0.0000 0.5000 0.7917
Sb1 Sb 0.0000 0.0000 0.0000
P1 P 0.5000 0.5000 0.3445
P2 P 0.5000 0.5000 0.6555
# Formation energy without anion corrections (eV/atom): -0.651
# Magnetization (μB per atom): 0.00

# TbHo4Sb2 (GGA-PBE, relaxed)
data_TbHo4Sb2
_chemical_formula_sum 'Tb1 Ho4 Sb2'
_cell_length_a 5.2414
_cell_length_b 5.2414
_cell_length_c 8.9981
_cell_angle_alpha 106.93
_cell_angle_beta 106.93
_cell_angle_gamma 90.00
_space_group_name_H-M_alt 'P 1'
_space_group_IT_number 1
loop_
_space_group_symop_operation_xyz
'x,y,z'
loop_
_atom_site_label
_atom_site_type_symbol
_atom_site_fract_x
_atom_site_fract_y
_atom_site_fract_z
Tb1 Tb 0.0000 0.0000 0.0000
Ho1 Ho 0.8163 0.8163 0.6326
Ho2 Ho 0.1837 0.1837 0.3674
Ho3 Ho 0.0000 0.5000 0.0000
Ho4 Ho 0.5000 0.0000 0.0000
Sb1 Sb 0.6333 0.6333 0.2666
Sb2 Sb 0.3667 0.3667 0.7334
# Formation energy without anion corrections (eV/atom): 0.270
# Magnetization (μB per atom): 0.00

# Tl3CrNi (GGA-PBE, relaxed)
data_Tl3CrNi
_chemical_formula_sum 'Tl3 Cr1 Ni1'
_cell_length_a 5.2802
_cell_length_b 5.2802
_cell_length_c 5.2802
_cell_angle_alpha 90.00
_cell_angle_beta 90.00
_cell_angle_gamma 90.00
_space_group_name_H-M_alt 'P 1'
_space_group_IT_number 1
loop_
_space_group_symop_operation_xyz
'x,y,z'
loop_
_atom_site_label
_atom_site_type_symbol
_atom_site_fract_x
_atom_site_fract_y
_atom_site_fract_z
Ni1 Ni 0.5000 0.5000 0.5000
Tl1 Tl 0.0000 0.5000 0.0000
Tl2 Tl 0.0000 0.0000 0.5000
Tl3 Tl 0.5000 0.0000 0.0000
Cr1 Cr 0.0000 0.0000 0.0000
# ΔE to the lowest computed polymorph (meV/atom): 432
# Energy of formation (kcal/mol of atoms): 22.866
# Magnetization (μB per atom): 0.89

# NiH8Ir2Pb (GGA-PBE, relaxed)
data_NiH8Ir2Pb
_chemical_formula_sum 'Ni1 H8 Ir2 Pb1'
_cell_length_a 4.5863
_cell_length_b 4.5863
_cell_length_c 6.6200
_cell_angle_alpha 69.73
_cell_angle_beta 69.73
_cell_angle_gamma 60.00
_space_group_name_H-M_alt 'P 1'
_space_group_IT_number 1
loop_
_space_group_symop_operation_xyz
'x,y,z'
loop_
_atom_site_label
_atom_site_type_symbol
_atom_site_fract_x
_atom_site_fract_y
_atom_site_fract_z
Ni1 Ni 0.0000 0.0000 0.0000
H1 H 0.2019 0.2019 0.3943
H2 H 0.6575 0.2285 0.1759
H3 H 0.7981 0.7981 0.6057
H4 H 0.9381 0.6575 0.1759
H5 H 0.0619 0.3425 0.8241
H6 H 0.2285 0.9381 0.1759
H7 H 0.7715 0.0619 0.8241
H8 H 0.3425 0.7715 0.8241
Ir1 Ir 0.2901 0.2901 0.1296
Ir2 Ir 0.7099 0.7099 0.8704
Pb1 Pb 0.5000 0.5000 0.5000
# E (eV per atom): -4.39
# Magnetization (μB per atom): 0.00

# Ce6HRh2 (GGA-PBE, relaxed)
data_Ce6HRh2
_chemical_formula_sum 'Ce12 H2 Rh4'
_cell_length_a 6.1271
_cell_length_b 6.9471
_cell_length_c 9.7244
_cell_angle_alpha 90.00
_cell_angle_beta 89.80
_cell_angle_gamma 90.00
_space_group_name_H-M_alt 'P 1'
_space_group_IT_number 1
loop_
_space_group_symop_operation_xyz
'x,y,z'
loop_
_atom_site_label
_atom_site_type_symbol
_atom_site_fract_x
_atom_site_fract_y
_atom_site_fract_z
Ce1 Ce 0.1337 0.0380 0.2489
Ce2 Ce 0.1318 0.3413 0.5540
Ce3 Ce 0.1272 0.3430 0.9476
Ce4 Ce 0.3728 0.8430 0.5524
Ce5 Ce 0.3682 0.8413 0.9460
Ce6 Ce 0.3663 0.5380 0.2511
Ce7 Ce 0.8663 0.9620 0.7511
Ce8 Ce 0.8682 0.6587 0.4460
Ce9 Ce 0.8728 0.6570 0.0524
Ce10 Ce 0.6272 0.1570 0.4476
Ce11 Ce 0.6318 0.1587 0.0540
Ce12 Ce 0.6337 0.4620 0.7489
H1 H 0.5000 0.5000 0.0000
H2 H 0.0000 0.0000 0.5000
Rh1 Rh 0.0921 0.6336 0.7494
Rh2 Rh 0.4079 0.1336 0.7506
Rh3 Rh 0.5921 0.8664 0.2494
Rh4 Rh 0.9079 0.3664 0.2506
# E (eV per atom): -6.35
# Magnetization (μB per atom): 0.12

# HfBiF3 (GGA-PBE, relaxed)
data_HfBiF3
_chemical_formula_sum 'Hf1 Bi1 F3'
_cell_length_a 4.7076
_cell_length_b 4.7076
_cell_length_c 4.7076
_cell_angle_alpha 90.00
_cell_angle_beta 90.00
_cell_angle_gamma 90.00
_space_group_name_H-M_alt 'P 1'
_space_group_IT_number 1
loop_
_space_group_symop_operation_xyz
'x,y,z'
loop_
_atom_site_label
_atom_site_type_symbol
_atom_site_fract_x
_atom_site_fract_y
_atom_site_fract_z
Hf1 Hf 0.5000 0.5000 0.5000
Bi1 Bi 0.0000 0.0000 0.0000
F1 F 0.0000 0.5000 0.0000
F2 F 0.0000 0.0000 0.5000
F3 F 0.5000 0.0000 0.0000
# Formation energy without anion corrections (eV/atom): -0.812
# ΔE to the lowest computed polymorph (meV/atom): 1143
# Magnetization (μB per atom): 0.35

# Nd2Sm12Er5 (GGA-PBE, relaxed)
data_Nd2Sm12Er5
_chemical_formula_sum 'Nd2 Sm12 Er5'
_cell_length_a 9.3095
_cell_length_b 12.5381
_cell_length_c 8.6741
_cell_angle_alpha 132.85
_cell_angle_beta 90.00
_cell_angle_gamma 111.79
_space_group_name_H-M_alt 'P 1'
_space_group_IT_number 1
loop_
_space_group_symop_operation_xyz
'x,y,z'
loop_
_atom_site_label
_atom_site_type_symbol
_atom_site_fract_x
_atom_site_fract_y
_atom_site_fract_z
Nd1 Nd 0.6763 0.0000 0.0000
Nd2 Nd 0.3237 0.0000 0.0000
Sm1 Sm 0.0892 0.1785 0.2966
Sm2 Sm 0.0261 0.6910 0.9297
Sm3 Sm 0.6648 0.6910 0.9297
Sm4 Sm 0.1802 0.7471 0.4101
Sm5 Sm 0.5669 0.7471 0.4101
Sm6 Sm 0.5626 0.1251 0.7877
Sm7 Sm 0.4374 0.8749 0.2123
Sm8 Sm 0.8198 0.2529 0.5899
Sm9 Sm 0.4331 0.2529 0.5899
Sm10 Sm 0.9739 0.3090 0.0703
Sm11 Sm 0.3352 0.3090 0.0703
Sm12 Sm 0.9108 0.8215 0.7034
Er1 Er 0.3003 0.6007 0.6193
Er2 Er 0.2303 0.4607 0.8898
Er3 Er 0.0000 0.0000 0.5000
Er4 Er 0.7697 0.5393 0.1102
Er5 Er 0.6997 0.3993 0.3807
# ΔE to the lowest computed polymorph (meV/atom): 16
# Energy of formation (kcal/mol of atoms): 3.015
# Magnetization (μB per atom): 0.00

# SiAs2SeI (GGA-PBE, relaxed)
data_SiAs2SeI
_chemical_formula_sum 'Si1 As2 Se1 I1'
_cell_length_a 5.0270
_cell_length_b 5.0270
_cell_length_c 4.7129
_cell_angle_alpha 90.00
_cell_angle_beta 90.00
_cell_angle_gamma 90.00
_space_group_name_H-M_alt 'P 1'
_space_group_IT_number 1
loop_
_space_group_symop_operation_xyz
'x,y,z'
loop_
_atom_site_label
_atom_site_type_symbol
_atom_site_fract_x
_atom_site_fract_y
_atom_site_fract_z
I1 I 0.5000 0.5000 0.5000
As1 As 0.0000 0.5000 0.0000
As2 As 0.5000 0.0000 0.0000
Si1 Si 0.0000 0.0000 0.0000
Se1 Se 0.0000 0.0000 0.5000
# Formation energy without anion corrections (eV/atom): 0.559
# ΔE to the lowest computed polymorph (meV/atom): 0
# Magnetization (μB per atom): 0.00